<one>
An optimized crystal structure of CaGd2Pt, computed with PBE-GGA.

POSCAR file:
```
CaGd2Pt
1.0
3.581 0.000 0.000
0.000 3.581 0.000
0.000 0.000 9.373
Ca Gd Pt
1 2 1
Direct
0.000 0.000 0.000
0.500 0.500 0.324
0.500 0.500 0.676
0.000 0.000 0.500
```

Properties
- V: 120.19 Å³/f.u.
- Space group: No. 123

<two>
An optimized crystal structure of CaGd2Pt, computed with PBE-GGA.

POSCAR file:
```
CaGd2Pt
1.0
2.030 1.172 9.509
-2.030 1.172 9.509
0.000 -2.344 9.509
Ca Gd Pt
1 2 1
Direct
0.000 0.000 0.000
0.222 0.222 0.222
0.778 0.778 0.778
0.500 0.500 0.500
```

Properties
- V: 135.71 Å³/f.u.
- Space group: No. 166

Which of them is the most stable? Correct choice: <one>.

<one>
An optimized crystal structure of CaGdRh, computed with PBE-GGA.

POSCAR file:
```
CaGdRh
1.0
0.000 3.428 3.428
3.428 0.000 3.428
3.428 3.428 0.000
Ca Gd Rh
1 1 1
Direct
0.000 0.000 0.000
0.500 0.500 0.500
0.750 0.750 0.750
```

Properties
- V: 80.57 Å³/f.u.
- Space group: No. 216

<two>
An optimized crystal structure of CaGdRh, computed with PBE-GGA.

POSCAR file:
```
CaGdRh
1.0
-1.736 1.736 6.606
1.736 -1.736 6.606
1.736 1.736 -6.606
Ca Gd Rh
1 1 1
Direct
0.000 0.000 0.000
0.256 0.256 0.000
0.642 0.642 0.000
```

Properties
- V: 79.61 Å³/f.u.
- Space group: No. 107

<three>
An optimized crystal structure of CaGdRh, computed with PBE-GGA.

POSCAR file:
```
CaGdRh
1.0
3.999 0.000 0.000
-1.999 3.463 0.000
0.000 0.000 6.537
Ca Gd Rh
1 1 1
Direct
0.000 0.000 0.000
0.667 0.333 0.482
0.333 0.667 0.264
```

Properties
- V: 90.52 Å³/f.u.
- Space group: No. 156

Which of them is the most stable? Correct choice: <two>.

<one>
An optimized crystal structure of CaGd2Rh, computed with PBE-GGA.

POSCAR file:
```
CaGd2Rh
1.0
1.990 1.149 9.562
-1.990 1.149 9.562
0.000 -2.298 9.562
Ca Gd Rh
1 2 1
Direct
0.000 0.000 0.000
0.221 0.221 0.221
0.779 0.779 0.779
0.500 0.500 0.500
```

Properties
- V: 131.20 Å³/f.u.
- Space group: No. 166

<two>
An optimized crystal structure of CaGd2Rh, computed with PBE-GGA.

POSCAR file:
```
CaGd2Rh
1.0
3.541 0.000 0.000
0.000 3.541 0.000
0.000 0.000 9.353
Ca Gd Rh
1 2 1
Direct
0.000 0.000 0.000
0.500 0.500 0.327
0.500 0.500 0.673
0.000 0.000 0.500
```

Properties
- V: 117.25 Å³/f.u.
- Space group: No. 123

Which of them is the most stable? Correct choice: <one>.

<one>
An optimized crystal structure of CaGd2Ru, computed with PBE-GGA.

POSCAR file:
```
CaGd2Ru
1.0
1.996 1.152 9.412
-1.996 1.152 9.412
0.000 -2.304 9.412
Ca Gd Ru
1 2 1
Direct
0.000 0.000 0.000
0.220 0.220 0.220
0.780 0.780 0.780
0.500 0.500 0.500
```

Properties
- V: 129.85 Å³/f.u.
- Space group: No. 166

<two>
An optimized crystal structure of CaGd2Ru, computed with PBE-GGA.

POSCAR file:
```
CaGd2Ru
1.0
3.464 0.000 0.000
0.000 3.464 0.000
0.000 0.000 9.651
Ca Gd Ru
1 2 1
Direct
0.000 0.000 0.000
0.500 0.500 0.328
0.500 0.500 0.672
0.000 0.000 0.500
```

Properties
- V: 115.83 Å³/f.u.
- Space group: No. 123

Which of them is the most stable? Correct choice: <two>.